# 1
The following is a DFT calculation (PBE-GGA) of an optimized crystal structure of LiCu3F6.

Cell lengths 6.485, 6.485, 5.893 Å; angles 90.00, 90.00, 96.29 degrees
Fractional positions:
Li  0.165  0.835  0.500
Li  0.835  0.165  0.000
Cu  0.027  0.326  0.510
Cu  0.326  0.027  0.010
Cu  0.477  0.523  0.170
Cu  0.523  0.477  0.670
Cu  0.674  0.973  0.510
Cu  0.973  0.674  0.010
F  0.029  0.971  0.916
F  0.063  0.593  0.657
F  0.243  0.757  0.185
F  0.331  0.359  0.423
F  0.359  0.331  0.923
F  0.407  0.937  0.657
F  0.593  0.063  0.157
F  0.641  0.669  0.423
F  0.669  0.641  0.923
F  0.757  0.243  0.685
F  0.937  0.407  0.157
F  0.971  0.029  0.416

Properties
Symmetry: Cmc2_1
Formation energy (no corrections) (eV per atom): -1.713

# 2
The following is a DFT calculation (PBE-GGA) of an optimized crystal structure of LiTbPmBe.

Cell lengths 5.061, 5.061, 5.061 Å; angles 60.00, 60.00, 60.00 degrees
Fractional positions:
Li  0.000  0.000  0.000
Tb  0.750  0.750  0.750
Pm  0.250  0.250  0.250
Be  0.500  0.500  0.500

Properties
Formation enthalpy at 0 K (eV per atom): 0.1534
Symmetry: F-43m

# 3
The following is a DFT calculation (PBE-GGA) of an optimized crystal structure of FeNiPCl2.

Cell lengths 4.521, 4.521, 4.622 Å; angles 90.00, 90.00, 90.00 degrees
Fractional positions:
Fe  0.000  0.000  0.000
Ni  0.500  0.500  0.500
P  0.500  0.500  0.000
Cl  0.000  0.500  0.500
Cl  0.500  0.000  0.500

Properties
Polymorph energy (0 for the lowest one) (eV per atom): 0.000
Symmetry: P4/mmm
Formation energy (no corrections) (eV per atom): 0.515

# 4
The following is a DFT calculation (PBE-GGA) of an optimized crystal structure of Mn2SiNiH.

Cell lengths 3.645, 3.645, 3.657 Å; angles 90.00, 90.00, 90.00 degrees
Fractional positions:
Mn  0.000  0.500  0.000
Mn  0.500  0.000  0.000
Si  0.000  0.000  0.500
Ni  0.500  0.500  0.500
H  0.500  0.500  0.000

Properties
Uncorrected energy (eV/atom): -6.83
Symmetry: P4/mmm